[1]
Ho5TlIn: relaxed, PBE.

abc: 6.1010 6.1010 11.3788
angles: 99.37 99.37 91.31
Atoms (fractional coordinates):
Ho1 0.0103 0.5802 0.1572
Ho2 0.1192 0.8808 0.7500
Ho3 0.2392 0.5230 0.4660
Ho4 0.4198 0.9897 0.3428
Ho5 0.4770 0.7608 0.0340
Ho6 0.5230 0.2392 0.9660
Ho7 0.5802 0.0103 0.6572
Ho8 0.7608 0.4770 0.5340
Ho9 0.8808 0.1192 0.2500
Ho10 0.9897 0.4198 0.8428
Tl1 0.0000 0.0000 0.0000
Tl2 0.0000 0.0000 0.5000
In1 0.4744 0.5256 0.7500
In2 0.5256 0.4744 0.2500

Results
Formation energy, kJ/mol of formula units: -68
Space group: C2/c
N(E_F), states/eV/atom: 1.07
Size of the total moment, μB/atom: 0.00


[2]
Al2V4Cr: relaxed, PBE.

abc: 11.3635 11.3635 3.0083
angles: 90.00 90.00 164.97
Atoms (fractional coordinates):
Al1 0.1977 0.8023 0.0000
Al2 0.8023 0.1977 0.0000
V1 0.0639 0.9361 0.0000
V2 0.3741 0.6259 0.5000
V3 0.6259 0.3741 0.5000
V4 0.9361 0.0639 0.0000
Cr1 0.5000 0.5000 0.5000

Results
Formation energy, kJ/mol of formula units: -15
Excess energy over the best structure of this formula in the dataset, meV/atom: 0.0
Space group: Cmmm
N(E_F), states/eV/atom: 1.03
Size of the total moment, μB/atom: 0.00


[3]
GdGaAg2: relaxed, PBE.

abc: 3.6576 3.6576 6.4260
angles: 90.00 90.00 90.00
Atoms (fractional coordinates):
Gd1 0.0000 0.0000 0.0000
Ga1 0.0000 0.0000 0.5000
Ag1 0.5000 0.5000 0.2727
Ag2 0.5000 0.5000 0.7273

Results
Formation energy, kJ/mol of formula units: -62
Space group: P4/mmm
N(E_F), states/eV/atom: 0.71
Size of the total moment, μB/atom: 1.83


Q: Look up the size of the total moment of the third one.
A: 1.83 μB/atom


Q: Which formula does entry 2 have?
A: Al2V4Cr